Compound: Fe2NiP
Source: the Alexandria database
Functional: PBE
Structure: relaxed

## Properties
SG: P4/mmm, No. 123
E_form: -0.081 eV/atom
DOS at the Fermi energy: 4.7 states/eV per cell

Unit cell a=3.915 b=3.915 c=2.754 alpha=90.00 beta=90.00 gamma=90.00
Each line ends with the local moment (μB).
Fractional positions:
Fe 0.000 0.000 0.000  0.99
Fe 0.500 0.500 0.000  0.99
Ni 0.500 0.000 0.500  0.27
P 0.000 0.500 0.500  -0.05

---

Compound: FeNiP2
Source: the Alexandria database
Functional: PBE
Structure: relaxed

## Properties
SG: P4/mmm, No. 123
E_form: -0.085 eV/atom
DOS at the Fermi energy: 2.0 states/eV per cell

Unit cell a=2.871 b=2.871 c=5.550 alpha=90.00 beta=90.00 gamma=90.04
Each line ends with the local moment (μB).
Fractional positions:
Fe 0.500 0.500 0.250  1.22
Ni 0.500 0.500 0.750  0.05
P 0.000 0.000 0.009  0.00
P 0.000 0.000 0.491  0.00

---

Compound: Fe2NiP
Source: the Alexandria database
Functional: PBE
Structure: relaxed

## Properties
SG: Immm, No. 71
E_form: -0.186 eV/atom
DOS at the Fermi energy: 2.9 states/eV per cell

Unit cell a=4.504 b=4.504 c=4.504 alpha=140.30 beta=129.66 gamma=65.94
Each line ends with the local moment (μB).
Fractional positions:
Fe 0.770 0.770 0.000  2.05
Fe 0.230 0.230 0.000  2.05
Ni 0.500 0.000 0.500  0.35
P 0.000 0.500 0.500  -0.04

---

Compound: FeNi2P
Source: the Alexandria database
Functional: PBE
Structure: relaxed

## Properties
SG: P4/mmm, No. 123
E_form: -0.064 eV/atom
DOS at the Fermi energy: 3.5 states/eV per cell

Unit cell a=2.761 b=2.761 c=6.012 alpha=90.00 beta=90.00 gamma=90.00
Each line ends with the local moment (μB).
Fractional positions:
Fe 0.500 0.500 0.750  2.81
Ni 0.000 0.000 0.034  0.10
Ni 0.000 0.000 0.466  0.10
P 0.500 0.500 0.250  0.00

---

Compound: FeNi2P
Source: the Alexandria database
Functional: PBE
Structure: relaxed

## Properties
SG: R3m, No. 160
E_form: -0.041 eV/atom
DOS at the Fermi energy: 5.0 states/eV per cell

Unit cell a=7.594 b=7.594 c=7.594 alpha=19.96 beta=19.96 gamma=19.96
Each line ends with the local moment (μB).
Fractional positions:
Fe 0.757 0.757 0.757  1.31
Ni 0.001 0.001 0.001  0.54
Ni 0.243 0.243 0.243  0.15
P 0.499 0.499 0.499  -0.04

---

Compound: FeNi2P
Source: the Alexandria database
Functional: PBE
Structure: relaxed

## Properties
SG: Pmmm, No. 47
E_form: -0.121 eV/atom
DOS at the Fermi energy: 3.0 states/eV per cell

Unit cell a=2.722 b=3.426 c=4.861 alpha=90.00 beta=90.00 gamma=90.00
Each line ends with the local moment (μB).
Fractional positions:
Fe 0.500 0.500 0.750  2.62
Ni 0.000 0.000 0.002  0.39
Ni 0.000 0.000 0.498  0.39
P 0.500 0.500 0.250  0.00

---

Compound: FeNiP4
Source: the Alexandria database
Functional: PBE
Structure: relaxed

## Properties
SG: P2/m, No. 10
E_form: -0.145 eV/atom
DOS at the Fermi energy: 6.6 states/eV per cell

Unit cell a=5.479 b=5.481 c=6.669 alpha=114.64 beta=114.66 gamma=89.69
Fractional positions:
Fe 0.000 0.000 0.500
Fe 0.500 0.500 0.500
Ni 0.750 0.250 0.000
Ni 0.250 0.750 0.000
P 0.870 0.370 0.743
P 0.629 0.629 0.260
P 0.130 0.630 0.257
P 0.371 0.371 0.740
P 0.871 0.871 0.740
P 0.630 0.130 0.257
P 0.129 0.129 0.260
P 0.370 0.870 0.743

---

Compound: FeNi2P
Source: the Alexandria database
Functional: PBE
Structure: relaxed

## Properties
SG: P4/mmm, No. 123
E_form: -0.175 eV/atom
DOS at the Fermi energy: 4.8 states/eV per cell

Unit cell a=3.640 b=3.417 c=3.417 alpha=90.00 beta=90.00 gamma=90.00
Each line ends with the local moment (μB).
Fractional positions:
Fe 0.500 0.000 0.500  1.01
Ni 0.000 0.000 0.000  0.26
Ni 0.000 0.500 0.500  0.26
P 0.500 0.500 0.000  -0.03

---

no.,calculated density (g/cm3),magnetic moment (μB/f.u.)
1,7.9,2.09
2,6.4,1.21
3,7.6,4.37
4,7.4,2.94
5,7.6,1.89
6,7.5,3.36
7,4.9,0.00
8,8.0,1.41